Ba2NpBiO8 PBE optimized geometry; energy = -7.109 eV per atom; raw formation energy = -2.082 eV/atom; symmetry = No. 2
1.0
-4.175 2.074 -0.757
-0.149 -3.859 -4.453
-3.689 -4.731 5.502
O Ba Bi Np
8 2 1 1
direct
0.098 0.746 0.850
0.944 0.168 0.741
0.347 0.244 0.471
0.364 0.185 0.985
0.636 0.815 0.015
0.902 0.254 0.150
0.653 0.756 0.529
0.056 0.832 0.259
0.540 0.472 0.757
0.460 0.528 0.243
0.000 0.000 0.500
0.000 0.000 0.000

***

BaNpBiO2 PBE optimized geometry; energy = -7.807 eV per atom; raw formation energy = -2.075 eV/atom; N(E_F) = 1.52 states/eV/atom; symmetry = No. 63
1.0
5.709 0.000 0.000
0.000 6.081 0.000
0.000 -3.040 7.205
Np O Ba Bi
2 4 2 2
direct
0.750 0.070 0.140
0.250 0.930 0.860
0.000 0.786 0.000
0.000 0.214 0.000
0.500 0.786 0.000
0.500 0.214 0.000
0.250 0.602 0.205
0.750 0.398 0.795
0.750 0.752 0.504
0.250 0.248 0.496

***

Ba2NpBiO6 PBE optimized geometry; energy = -7.524 eV per atom; raw formation energy = -2.482 eV/atom; N(E_F) = 0.39 states/eV/atom; symmetry = No. 99
1.0
-2.567 -0.920 -3.599
1.626 -6.054 0.387
-4.904 -1.076 3.773
O Ba Np Bi
6 2 1 1
direct
0.646 0.764 0.236
0.145 0.000 0.000
0.646 0.236 0.764
0.646 0.764 0.764
0.144 0.500 0.500
0.646 0.236 0.236
0.142 0.000 0.500
0.142 0.500 0.000
0.645 0.000 0.000
0.644 0.500 0.500

***

Ba2NpBiS6 PBE optimized geometry; energy = -5.879 eV per atom; raw formation energy = -1.336 eV/atom; N(E_F) = 0.67 states/eV/atom; symmetry = No. 12
1.0
7.490 0.000 -0.462
0.000 7.325 0.000
-3.336 -3.662 5.404
Ba S Np Bi
2 6 1 1
direct
0.768 0.751 0.503
0.232 0.249 0.497
0.184 0.688 0.888
0.335 0.739 0.478
0.184 0.199 0.888
0.816 0.801 0.112
0.816 0.312 0.112
0.665 0.261 0.522
0.000 0.500 0.000
0.500 0.000 0.000

***

Ba2Bi3O7 PBE optimized geometry; energy = -5.741 eV per atom; raw formation energy = -1.558 eV/atom; N(E_F) = 0.15 states/eV/atom; symmetry = No. 25
1.0
4.376 0.000 0.000
0.000 4.429 0.000
0.000 0.000 12.460
O Bi Ba
7 3 2
direct
0.500 0.534 0.336
0.500 0.044 0.178
0.500 0.044 0.822
0.000 0.027 0.661
0.000 0.027 0.339
0.500 0.534 0.664
0.000 0.755 0.000
0.500 0.033 0.638
0.500 0.952 0.000
0.500 0.033 0.362
0.000 0.530 0.211
0.000 0.530 0.789

***

Ba4BiO2 PBE optimized geometry; energy = -4.713 eV per atom; raw formation energy = -1.644 eV/atom; N(E_F) = 0.40 states/eV/atom; symmetry = No. 122
1.0
-0.623 3.548 8.155
-6.236 0.901 -6.307
-0.117 -8.760 1.649
O Ba Bi
4 8 2
direct
0.625 0.440 0.315
0.560 0.875 0.185
0.125 0.310 0.685
0.690 0.375 0.815
0.942 0.181 0.358
0.416 0.058 0.239
0.823 0.584 0.642
0.308 0.165 0.739
0.835 0.574 0.143
0.426 0.569 0.261
0.819 0.177 0.761
0.431 0.692 0.857
0.250 0.750 0.500
0.000 0.000 0.000

***

Ba3Bi2O PBE optimized geometry; energy = -4.160 eV per atom; raw formation energy = -1.078 eV/atom; N(E_F) = 0.70 states/eV/atom; symmetry = No. 58
1.0
-2.854 -0.879 -2.445
-5.172 -5.176 7.896
-5.729 10.286 2.990
O Ba Bi
2 6 4
direct
0.500 0.000 0.500
0.000 0.500 0.000
0.500 0.420 0.121
0.000 0.000 0.000
0.000 0.080 0.621
0.500 0.500 0.500
0.500 0.580 0.879
0.000 0.920 0.379
0.000 0.725 0.644
0.500 0.775 0.144
0.000 0.275 0.356
0.500 0.225 0.856

***

BaBi4O8 PBE optimized geometry; energy = -5.513 eV per atom; raw formation energy = -1.120 eV/atom; N(E_F) = 0.45 states/eV/atom; symmetry = No. 162
1.0
3.249 -5.628 0.000
3.249 5.628 0.000
0.000 0.000 7.682
Bi O Ba
4 8 1
direct
0.333 0.667 0.270
0.333 0.667 0.730
0.667 0.333 0.730
0.667 0.333 0.270
0.667 0.333 0.000
0.673 0.000 0.738
0.000 0.673 0.738
0.327 0.000 0.262
0.000 0.327 0.262
0.673 0.673 0.262
0.333 0.667 0.000
0.327 0.327 0.738
0.000 0.000 0.000

***

Ba2BiO5 PBE optimized geometry; energy = -5.691 eV per atom; raw formation energy = -1.626 eV/atom; N(E_F) = 0.67 states/eV/atom; symmetry = No. 123
1.0
-3.635 1.986 0.769
-2.739 -3.352 -4.291
-1.412 -4.202 4.183
O Ba Bi
5 2 1
direct
0.000 0.755 0.755
0.000 0.245 0.755
0.000 0.755 0.245
0.000 0.245 0.245
0.500 0.000 0.000
0.500 0.500 0.000
0.500 0.000 0.500
0.000 0.000 0.000

***

Ba4Bi3O11 PBE optimized geometry; energy = -5.848 eV per atom; raw formation energy = -1.744 eV/atom; N(E_F) = 0.18 states/eV/atom; symmetry = No. 38
1.0
-0.833 3.638 -4.982
-5.850 1.123 1.809
2.809 7.069 4.692
Ba O Bi
4 11 3
direct
0.048 0.496 0.743
0.504 0.952 0.743
0.048 0.496 0.257
0.504 0.952 0.257
0.508 0.492 0.731
0.759 0.742 0.500
0.018 0.982 0.750
0.082 0.311 0.000
0.237 0.763 0.000
0.766 0.234 0.500
0.263 0.737 0.500
0.018 0.982 0.250
0.258 0.241 0.500
0.508 0.492 0.269
0.689 0.918 0.000
0.012 0.988 0.500
0.522 0.478 0.500
0.006 0.994 0.000

***

Ba3BiO PBE optimized geometry; energy = -4.371 eV per atom; raw formation energy = -1.450 eV/atom; N(E_F) = 0.61 states/eV/atom; symmetry = No. 221
1.0
5.516 0.000 0.000
0.000 5.516 0.000
0.000 0.000 5.516
Ba Bi O
3 1 1
direct
0.000 0.500 0.000
0.500 0.000 0.000
0.000 0.000 0.500
0.500 0.500 0.500
0.000 0.000 0.000

***

Ba3BiO5 PBE optimized geometry; energy = -5.810 eV per atom; raw formation energy = -1.984 eV/atom; N(E_F) = 0.29 states/eV/atom; symmetry = No. 140
1.0
7.472 0.000 0.000
0.000 7.472 0.000
-3.736 -3.736 6.541
Bi Ba O
2 6 10
direct
0.250 0.750 0.500
0.750 0.250 0.500
0.319 0.819 0.000
0.819 0.681 0.000
0.250 0.250 0.500
0.681 0.181 0.000
0.750 0.750 0.500
0.181 0.319 0.000
0.000 0.000 0.000
0.304 0.804 0.295
0.500 0.500 0.000
0.491 0.304 0.295
0.196 0.009 0.705
0.991 0.491 0.295
0.696 0.196 0.705
0.509 0.696 0.705
0.804 0.991 0.295
0.009 0.509 0.705